A plane-wave DFT calculation with PBE was carried out for PmYCu3 after structural relaxation.

abc: 13.1954 13.1954 4.3278
angles: 90.00 90.00 164.27
With the nearest neighbours (Å) after each atom.
Element x y z (fractional)
1 Pm 0.2023 0.7977 0.7500  6 Cu 2.91-2.98
2 Pm 0.7977 0.2023 0.2500  6 Cu 2.91-2.98
3 Y 0.0693 0.9307 0.2500  12 Cu 2.99-3.10
4 Y 0.9307 0.0693 0.7500  12 Cu 2.99-3.10
5 Cu 0.3344 0.6656 0.7500  2 Cu 2.54
6 Cu 0.3851 0.6149 0.2500  3 Cu 2.43-2.54
7 Cu 0.4780 0.5220 0.2500  3 Cu 2.43-2.45
8 Cu 0.5220 0.4780 0.7500  3 Cu 2.43-2.45
9 Cu 0.6149 0.3851 0.7500  3 Cu 2.43-2.54
10 Cu 0.6656 0.3344 0.2500  2 Cu 2.54

## Properties
The calculation puts the relative energy among the computed polymorphs at 10.6 meV per atom. Its formation energy is -0.2191 eV per atom. The total magnetic moment is 0.00 μB per formula unit. As for the space-group type: No. 63. As for the total energy: -4.9197 eV/atom. Its density of states at the Fermi level is 7.5 states/eV per cell. The value obtained for the mass density is 6.90 Mg/m³.

A plane-wave DFT calculation with PBE was carried out for PmYCu10 after structural relaxation.

abc: 4.1053 5.0945 8.7394
angles: 90.00 90.00 90.00
With the nearest neighbours (Å) after each atom.
Element x y z (fractional)
1 Pm 0.0000 0.0000 0.0000  18 Cu 2.93-3.27
2 Y 0.0000 0.5000 0.5000  14 Cu 2.90-3.24
3 Cu 0.0000 0.0000 0.3357  6 Cu 2.51-2.53
4 Cu 0.0000 0.0000 0.6643  6 Cu 2.51-2.53
5 Cu 0.0000 0.5000 0.1685  6 Cu 2.52-2.53
6 Cu 0.0000 0.5000 0.8315  6 Cu 2.52-2.53
7 Cu 0.5000 0.0000 0.5000  8 Cu 2.51-2.52
8 Cu 0.5000 0.2515 0.2523  8 Cu 2.52-2.56
9 Cu 0.5000 0.2515 0.7477  8 Cu 2.52-2.56
10 Cu 0.5000 0.5000 0.0000  8 Cu 2.53-2.54
11 Cu 0.5000 0.7485 0.2523  8 Cu 2.52-2.56
12 Cu 0.5000 0.7485 0.7477  8 Cu 2.52-2.56

## Properties
Its formation energy is -0.1817 eV per atom. The total magnetic moment is 0.00 μB per formula unit. As for the space-group type: No. 47. As for the total energy: -4.5297 eV/atom. Its density of states at the Fermi level is 7.2 states/eV per cell. The value obtained for the mass density is 7.90 Mg/m³.

A plane-wave DFT calculation with PBE was carried out for PmY3Cu2 after structural relaxation.

abc: 3.5082 3.5082 12.2759
angles: 90.00 90.00 90.00
With the nearest neighbours (Å) after each atom.
Element x y z (fractional)
1 Pm 0.0000 0.0000 0.0000  4 Pm 3.51, 8 Y 3.67
2 Y 0.5000 0.5000 0.2201  4 Cu 3.01
3 Y 0.5000 0.5000 0.5000  8 Cu 3.03
4 Y 0.5000 0.5000 0.7799  4 Cu 3.01
5 Cu 0.0000 0.0000 0.3585  8 Y 3.01-3.03
6 Cu 0.0000 0.0000 0.6415  8 Y 3.01-3.03

## Properties
Its formation energy is -0.1484 eV per atom. The total magnetic moment is 0.00 μB per formula unit. As for the space-group type: No. 123. As for the total energy: -5.5376 eV/atom. Its density of states at the Fermi level is 5.8 states/eV per cell. The value obtained for the mass density is 5.92 Mg/m³.

A plane-wave DFT calculation with PBE was carried out for PmYCu2 after structural relaxation.

abc: 3.5136 3.5136 7.0772
angles: 90.00 90.00 90.00
With the nearest neighbours (Å) after each atom.
Element x y z (fractional)
1 Pm 0.0000 0.0000 0.0000  8 Cu 3.10
2 Y 0.0000 0.0000 0.5000  8 Cu 3.00
3 Cu 0.5000 0.5000 0.2622  4 Y 3.00, 4 Pm 3.10
4 Cu 0.5000 0.5000 0.7378  4 Y 3.00, 4 Pm 3.10

## Properties
The calculation puts the relative energy among the computed polymorphs at 15.0 meV per atom. Its formation energy is -0.2048 eV per atom. The total magnetic moment is 0.00 μB per formula unit. As for the space-group type: No. 123. As for the total energy: -5.0566 eV/atom. Its density of states at the Fermi level is 2.2 states/eV per cell. The value obtained for the mass density is 6.86 Mg/m³.

A plane-wave DFT calculation with PBE was carried out for Pm4YCu4 after structural relaxation.

abc: 8.4993 8.4993 6.3835
angles: 90.00 90.00 90.00
With the nearest neighbours (Å) after each atom.
Element x y z (fractional)
1 Pm 0.0443 0.6600 0.1531  4 Cu 2.83-3.06
2 Pm 0.1600 0.9557 0.6531  4 Cu 2.83-3.06
3 Pm 0.3400 0.5443 0.6531  4 Cu 2.83-3.06
4 Pm 0.4557 0.8400 0.1531  4 Cu 2.83-3.06
5 Pm 0.5443 0.1600 0.8469  4 Cu 2.83-3.06
6 Pm 0.6600 0.4557 0.3469  4 Cu 2.83-3.06
7 Pm 0.8400 0.0443 0.3469  4 Cu 2.83-3.06
8 Pm 0.9557 0.3400 0.8469  4 Cu 2.83-3.06
9 Y 0.2500 0.2500 0.2500  4 Cu 2.69
10 Y 0.7500 0.7500 0.7500  4 Cu 2.69
11 Cu 0.0196 0.6269 0.6003  1 Cu 2.53, 1 Y 2.69, 1 Pm 2.83
12 Cu 0.1269 0.9804 0.1003  1 Cu 2.53, 1 Y 2.69, 1 Pm 2.83
13 Cu 0.3731 0.5196 0.1003  1 Cu 2.53, 1 Y 2.69, 1 Pm 2.83
14 Cu 0.4804 0.8731 0.6003  1 Cu 2.53, 1 Y 2.69, 1 Pm 2.83
15 Cu 0.5196 0.1269 0.3997  1 Cu 2.53, 1 Y 2.69, 1 Pm 2.83
16 Cu 0.6269 0.4804 0.8997  1 Cu 2.53, 1 Y 2.69, 1 Pm 2.83
17 Cu 0.8731 0.0196 0.8997  1 Cu 2.53, 1 Y 2.69, 1 Pm 2.83
18 Cu 0.9804 0.3731 0.3997  1 Cu 2.53, 1 Y 2.69, 1 Pm 2.83

## Properties
Its formation energy is -0.0134 eV per atom. The total magnetic moment is 0.00 μB per formula unit. As for the space-group type: No. 86. As for the total energy: -4.6635 eV/atom. Its density of states at the Fermi level is 19.6 states/eV per cell. The value obtained for the mass density is 6.65 Mg/m³.

A plane-wave DFT calculation with PBE was carried out for Pm2YCu2 after structural relaxation.

abc: 7.2401 7.2401 4.7544
angles: 90.00 90.00 90.00
With the nearest neighbours (Å) after each atom.
Element x y z (fractional)
1 Pm 0.1705 0.3295 0.0000  6 Cu 3.19-3.20, 1 Pm 3.49
2 Pm 0.3295 0.8295 0.0000  6 Cu 3.19-3.20, 1 Pm 3.49
3 Pm 0.6705 0.1705 0.0000  6 Cu 3.19-3.20, 1 Pm 3.49
4 Pm 0.8295 0.6705 0.0000  6 Cu 3.19-3.20, 1 Pm 3.49
5 Y 0.0000 0.0000 0.5000  4 Cu 2.88
6 Y 0.5000 0.5000 0.5000  4 Cu 2.88
7 Cu 0.1212 0.6212 0.5000  1 Cu 2.48
8 Cu 0.3788 0.1212 0.5000  1 Cu 2.48
9 Cu 0.6212 0.8788 0.5000  1 Cu 2.48
10 Cu 0.8788 0.3788 0.5000  1 Cu 2.48

## Properties
The calculation puts the relative energy among the computed polymorphs at 0.0 meV per atom. Its formation energy is -0.1181 eV per atom. The total magnetic moment is 0.00 μB per formula unit. As for the space-group type: No. 127. As for the total energy: -4.9496 eV/atom. Its density of states at the Fermi level is 13.4 states/eV per cell. The value obtained for the mass density is 6.74 Mg/m³.

A plane-wave DFT calculation with PBE was carried out for PmY3Cu after structural relaxation.

abc: 5.4088 5.4088 5.4088
angles: 90.00 90.00 90.00
With the nearest neighbours (Å) after each atom.
Element x y z (fractional)
1 Pm 0.0000 0.0000 0.0000  12 Y 3.82
2 Y 0.0000 0.5000 0.5000  2 Cu 2.70
3 Y 0.5000 0.0000 0.5000  2 Cu 2.70
4 Y 0.5000 0.5000 0.0000  2 Cu 2.70
5 Cu 0.5000 0.5000 0.5000  6 Y 2.70

## Properties
Its formation energy is 0.0769 eV per atom. The total magnetic moment is 0.00 μB per formula unit. As for the space-group type: No. 221. As for the total energy: -5.5709 eV/atom. Its density of states at the Fermi level is 5.9 states/eV per cell. The value obtained for the mass density is 4.99 Mg/m³.

A plane-wave DFT calculation with PBE was carried out for PmY2Cu6 after structural relaxation.

abc: 7.3479 7.3479 3.6419
angles: 90.00 90.00 120.00
With the nearest neighbours (Å) after each atom.
Element x y z (fractional)
1 Pm 0.0000 0.0000 0.0000  12 Cu 3.06
2 Y 0.3333 0.6667 0.0000  12 Cu 3.05
3 Y 0.6667 0.3333 0.0000  12 Cu 3.05
4 Cu 0.0000 0.3348 0.5000  3 Cu 2.43-2.46
5 Cu 0.0000 0.6652 0.5000  3 Cu 2.43-2.46
6 Cu 0.3348 0.0000 0.5000  3 Cu 2.43-2.46
7 Cu 0.3348 0.3348 0.5000  3 Cu 2.43-2.46
8 Cu 0.6652 0.0000 0.5000  3 Cu 2.43-2.46
9 Cu 0.6652 0.6652 0.5000  3 Cu 2.43-2.46

## Properties
Its formation energy is -0.2427 eV per atom. The total magnetic moment is 0.00 μB per formula unit. As for the space-group type: No. 191. As for the total energy: -4.9378 eV/atom. Its density of states at the Fermi level is 4.7 states/eV per cell. The value obtained for the mass density is 6.87 Mg/m³.

A plane-wave DFT calculation with PBE was carried out for PmY2Cu2 after structural relaxation.

abc: 5.0520 4.6732 10.7647
angles: 90.00 96.98 90.00
With the nearest neighbours (Å) after each atom.
Element x y z (fractional)
1 Pm 0.1904 0.2500 0.2406  1 Cu 2.93
2 Pm 0.8096 0.7500 0.7594  1 Cu 2.93
3 Y 0.2485 0.7500 0.4951  4 Cu 2.77-2.89
4 Y 0.3445 0.2500 0.8860  5 Cu 2.70-2.96
5 Y 0.6555 0.7500 0.1140  5 Cu 2.70-2.96
6 Y 0.7515 0.2500 0.5049  4 Cu 2.77-2.89
7 Cu 0.1240 0.7500 0.0071  2 Cu 2.65, 4 Y 2.75-2.96, 1 Pm 2.93
8 Cu 0.2869 0.2500 0.6337  5 Y 2.70-2.89
9 Cu 0.7131 0.7500 0.3663  5 Y 2.70-2.89
10 Cu 0.8760 0.2500 0.9929  2 Cu 2.65, 4 Y 2.75-2.96, 1 Pm 2.93

## Properties
The calculation puts the relative energy among the computed polymorphs at 34.5 meV per atom. Its formation energy is -0.1018 eV per atom. The total magnetic moment is 0.00 μB per formula unit. As for the space-group type: No. 11. As for the total energy: -5.2760 eV/atom. Its density of states at the Fermi level is 11.3 states/eV per cell. The value obtained for the mass density is 5.92 Mg/m³.

A plane-wave DFT calculation with PBE was carried out for PmYCu2 after structural relaxation.

abc: 3.8354 4.5029 5.5500
angles: 90.00 109.72 90.00
With the nearest neighbours (Å) after each atom.
Element x y z (fractional)
1 Pm 0.0000 0.0000 0.0000  7 Cu 2.92-3.06
2 Y 0.2809 0.5000 0.5641  7 Cu 2.89-3.05
3 Cu 0.5756 0.5000 0.1486  2 Cu 2.67, 2 Y 2.89-2.90
4 Cu 0.7096 0.0000 0.4238  2 Cu 2.67, 2 Pm 2.92-2.94

## Properties
The calculation puts the relative energy among the computed polymorphs at 0.0 meV per atom. Its formation energy is -0.2199 eV per atom. The total magnetic moment is 0.00 μB per formula unit. As for the space-group type: No. 6. As for the total energy: -5.0716 eV/atom. Its density of states at the Fermi level is 3.0 states/eV per cell. The value obtained for the mass density is 6.64 Mg/m³.

A plane-wave DFT calculation with PBE was carried out for Pm2YCu2 after structural relaxation.

abc: 5.4782 4.5209 10.6951
angles: 90.00 97.05 90.00
With the nearest neighbours (Å) after each atom.
Element x y z (fractional)
1 Pm 0.0983 0.2500 0.3786  5 Cu 2.89-3.07
2 Pm 0.2511 0.2500 0.0437  4 Cu 2.89-3.01
3 Pm 0.7489 0.7500 0.9563  4 Cu 2.89-3.01
4 Pm 0.9017 0.7500 0.6214  5 Cu 2.89-3.07
5 Y 0.4130 0.2500 0.7141  5 Cu 2.91-3.02
6 Y 0.5870 0.7500 0.2859  5 Cu 2.91-3.02
7 Cu 0.2345 0.7500 0.8574  5 Pm 2.89-3.01, 2 Y 2.96
8 Cu 0.3856 0.7500 0.5256  2 Cu 2.67, 2 Pm 2.89-2.96, 1 Y 2.91
9 Cu 0.6144 0.2500 0.4744  2 Cu 2.67, 2 Pm 2.89-2.96, 1 Y 2.91
10 Cu 0.7655 0.2500 0.1426  5 Pm 2.89-3.01, 2 Y 2.96

## Properties
The calculation puts the relative energy among the computed polymorphs at 48.6 meV per atom. Its formation energy is -0.0695 eV per atom. The total magnetic moment is 0.00 μB per formula unit. As for the space-group type: No. 11. As for the total energy: -4.9010 eV/atom. Its density of states at the Fermi level is 11.3 states/eV per cell. The value obtained for the mass density is 6.39 Mg/m³.

A plane-wave DFT calculation with PBE was carried out for PmY5Cu6 after structural relaxation.

abc: 7.8522 7.8522 6.9462
angles: 90.00 90.00 143.18
With the nearest neighbours (Å) after each atom.
Element x y z (fractional)
1 Pm 0.0000 0.0000 0.0000  8 Cu 3.05-3.06
2 Y 0.0000 0.0000 0.5000  8 Cu 3.00-3.05
3 Y 0.3325 0.6675 0.0000  8 Cu 3.00-3.07
4 Y 0.3337 0.6663 0.5000  8 Cu 3.00-3.02
5 Y 0.6663 0.3337 0.5000  8 Cu 3.00-3.02
6 Y 0.6675 0.3325 0.0000  8 Cu 3.00-3.07
7 Cu 0.1688 0.8312 0.2517  7 Y 3.00-3.05, 1 Pm 3.06
8 Cu 0.1688 0.8312 0.7483  7 Y 3.00-3.05, 1 Pm 3.06
9 Cu 0.5000 0.5000 0.2564  6 Y 3.00-3.07, 2 Pm 3.05
10 Cu 0.5000 0.5000 0.7436  6 Y 3.00-3.07, 2 Pm 3.05
11 Cu 0.8312 0.1688 0.2517  7 Y 3.00-3.05, 1 Pm 3.06
12 Cu 0.8312 0.1688 0.7483  7 Y 3.00-3.05, 1 Pm 3.06

## Properties
Its formation energy is -0.2306 eV per atom. The total magnetic moment is 0.00 μB per formula unit. As for the space-group type: No. 65. As for the total energy: -5.3679 eV/atom. Its density of states at the Fermi level is 5.8 states/eV per cell. The value obtained for the mass density is 6.28 Mg/m³.